No. 1
DFT (GGA-PBEsol) results for a relaxed structure of LaAsW2.

Lattice parameters (Å, degrees): 2.796 5.600 5.600 119.06 90.00 90.00
Atoms (fractional coordinates):
W 0.000 0.000 0.500
W 0.000 0.500 0.000
As 0.500 0.000 0.000
La 0.500 0.500 0.500

Computed properties:
Energy relative to the elements, eV/atom: 0.901
V, Å³/atom: 19.160
Space group: Cmmm, No. 65



No. 2
DFT (GGA-PBEsol) results for a relaxed structure of KMn2Fe.

Lattice parameters (Å, degrees): 2.903 2.903 8.317 90.00 90.00 90.00
Site moments in Bohr magnetons follow the coordinates.
Atoms (fractional coordinates):
Fe 0.500 0.500 0.000  1.04
K 0.500 0.500 0.500  0.01
Mn 0.000 0.000 0.843  3.20
Mn 0.000 0.000 0.157  3.20

Computed properties:
Energy relative to the elements, eV/atom: 0.818
Distance to the lowest polymorph of the same formula, eV/atom: 0.000
V, Å³/atom: 17.517
Space group: P4/mmm, No. 123



No. 3
DFT (GGA-PBEsol) results for a relaxed structure of Zn2PbAu2.

Lattice parameters (Å, degrees): 2.949 7.841 7.841 90.00 90.00 90.00
Atoms (fractional coordinates):
Zn 0.500 0.161 0.661
Zn 0.500 0.339 0.161
Zn 0.500 0.839 0.339
Zn 0.500 0.661 0.839
Au 0.000 0.134 0.366
Au 0.000 0.866 0.634
Au 0.000 0.366 0.866
Au 0.000 0.634 0.134
Pb 0.000 0.500 0.500
Pb 0.000 0.000 0.000

Computed properties:
Energy relative to the elements, eV/atom: -0.092
Distance to the lowest polymorph of the same formula, eV/atom: 0.035
V, Å³/atom: 18.134
Space group: P4/mbm, No. 127



No. 4
DFT (GGA-PBEsol) results for a relaxed structure of InCS2Cl.

Lattice parameters (Å, degrees): 4.914 5.007 5.007 90.00 90.00 90.00
Site moments in Bohr magnetons follow the coordinates.
Atoms (fractional coordinates):
C 0.500 0.500 0.500  0.78
S 0.000 0.500 0.000  -0.45
S 0.000 0.000 0.500  -0.45
In 0.000 0.000 0.000  0.01
Cl 0.500 0.000 0.000  -0.01

Computed properties:
Formation energy (no corrections), eV per atom: 1.61
V, Å³/atom: 24.639
Space group: P4/mmm, No. 123



No. 5
DFT (GGA-PBEsol) results for a relaxed structure of Ba3MgTa2O9.

Lattice parameters (Å, degrees): 5.771 5.771 7.092 90.00 90.00 120.00
Atoms (fractional coordinates):
Ta 0.667 0.333 0.824
Ta 0.333 0.667 0.176
O 0.657 0.829 0.325
O 0.000 0.500 0.000
O 0.500 0.000 0.000
O 0.171 0.343 0.325
O 0.829 0.657 0.675
O 0.343 0.171 0.675
O 0.171 0.829 0.325
O 0.829 0.171 0.675
O 0.500 0.500 0.000
Ba 0.000 0.000 0.000
Ba 0.333 0.667 0.663
Ba 0.667 0.333 0.337
Mg 0.000 0.000 0.500

Computed properties:
Formation energy (no corrections), eV per atom: -3.05
V, Å³/atom: 13.635
Space group: P-3m1, No. 164



No. 6
DFT (GGA-PBEsol) results for a relaxed structure of TlIn2Ga2.

Lattice parameters (Å, degrees): 3.136 8.614 8.614 90.00 90.00 90.00
Atoms (fractional coordinates):
Ga 0.500 0.350 0.150
Ga 0.500 0.150 0.650
Ga 0.500 0.850 0.350
Ga 0.500 0.650 0.850
In 0.000 0.146 0.354
In 0.000 0.646 0.146
In 0.000 0.354 0.854
In 0.000 0.854 0.646
Tl 0.000 0.500 0.500
Tl 0.000 0.000 0.000

Computed properties:
Energy relative to the elements, eV/atom: 0.054
Distance to the lowest polymorph of the same formula, eV/atom: 0.000
V, Å³/atom: 23.272
Space group: P4/mbm, No. 127



No. 7
DFT (GGA-PBEsol) results for a relaxed structure of Li3TaI.

Lattice parameters (Å, degrees): 5.290 5.290 5.290 90.00 90.00 90.00
Site moments in Bohr magnetons follow the coordinates.
Atoms (fractional coordinates):
Ta 0.000 0.000 0.000  2.61
I 0.500 0.500 0.500  0.02
Li 0.000 0.000 0.500  0.05
Li 0.000 0.500 0.000  0.05
Li 0.500 0.000 0.000  0.05

Computed properties:
Formation energy (no corrections), eV per atom: 1.14
V, Å³/atom: 29.611
Space group: Pm-3m, No. 221



No. 8
DFT (GGA-PBEsol) results for a relaxed structure of SrLi2Ag.

Lattice parameters (Å, degrees): 4.615 4.615 6.127 67.88 67.88 60.00
Atoms (fractional coordinates):
Ag 0.694 0.694 0.918
Sr 0.493 0.493 0.522
Li 0.009 0.009 0.974
Li 0.296 0.296 0.111

Computed properties:
Energy relative to the elements, eV/atom: -0.115
V, Å³/atom: 25.439
Space group: R3m, No. 160



Number 1: D(E_F) 0.98 states/eV per atom. Number 2: D(E_F) 0.99 states/eV per atom. Number 3: D(E_F) 0.34 states/eV per atom. Number 4: D(E_F) 0.76 states/eV per atom. Number 5: D(E_F) 0.00 states/eV per atom. Number 6: D(E_F) 0.41 states/eV per atom. Number 7: D(E_F) 0.55 states/eV per atom. Number 8: D(E_F) 0.49 states/eV per atom.